A plane-wave DFT calculation with GGA-PBE was carried out for a geometry-optimized BeIn2 structure.

Unit cell a=7.230 b=7.230 c=3.989 alpha=90.00 beta=90.00 gamma=120.00
Atoms (fractional coordinates):
1 Be 0.000 0.000 0.000
2 Be 0.333 0.667 0.500
3 Be 0.667 0.333 0.500
4 In 0.000 0.273 0.500
5 In 0.000 0.615 0.000
6 In 0.273 0.000 0.500
7 In 0.385 0.385 0.000
8 In 0.615 0.000 0.000
9 In 0.727 0.727 0.500

Properties
Energy above the most stable polymorph in this dataset ... 123 meV/atom
Final energy ... -2.7105 eV per atom


A plane-wave DFT calculation with GGA-PBE was carried out for a geometry-optimized BeIn2 structure.

Unit cell a=3.957 b=3.892 c=8.057 alpha=90.00 beta=100.37 gamma=90.00
Atoms (fractional coordinates):
1 Be 0.027 0.000 0.070
2 Be 0.973 0.500 0.930
3 In 0.202 0.005 0.402
4 In 0.426 0.003 0.837
5 In 0.574 0.503 0.163
6 In 0.798 0.505 0.598

Properties
Energy above the most stable polymorph in this dataset ... 32 meV/atom
Final energy ... -2.8015 eV per atom


A plane-wave DFT calculation with GGA-PBE was carried out for a geometry-optimized BeIn2 structure.

Unit cell a=3.431 b=3.431 c=6.059 alpha=90.00 beta=90.00 gamma=120.00
Atoms (fractional coordinates):
1 Be 0.000 0.000 0.000
2 In 0.333 0.667 0.291
3 In 0.667 0.333 0.709

Properties
Energy above the most stable polymorph in this dataset ... 153 meV/atom
Final energy ... -2.6812 eV per atom


A plane-wave DFT calculation with GGA-PBE was carried out for a geometry-optimized BeIn4 structure.

Unit cell a=5.410 b=5.410 c=5.410 alpha=109.47 beta=109.47 gamma=109.47
Atoms (fractional coordinates):
1 Be 0.000 0.000 0.000
2 In 0.000 0.000 0.500
3 In 0.000 0.500 0.000
4 In 0.500 0.000 0.000
5 In 0.500 0.500 0.500

Properties
Energy above the most stable polymorph in this dataset ... 0 meV/atom
Final energy ... -2.6960 eV per atom


A plane-wave DFT calculation with GGA-PBE was carried out for a geometry-optimized BeIn2 structure.

Unit cell a=5.882 b=6.349 c=3.456 alpha=90.00 beta=90.00 gamma=90.00
Atoms (fractional coordinates):
1 Be 0.000 0.000 0.000
2 Be 0.500 0.500 0.500
3 In 0.221 0.341 0.000
4 In 0.279 0.841 0.500
5 In 0.721 0.159 0.500
6 In 0.779 0.659 0.000

Properties
Energy above the most stable polymorph in this dataset ... 102 meV/atom
Final energy ... -2.7315 eV per atom


A plane-wave DFT calculation with GGA-PBE was carried out for a geometry-optimized Be4In structure.

Unit cell a=4.451 b=4.451 c=4.451 alpha=99.24 beta=99.24 gamma=132.76
Atoms (fractional coordinates):
1 Be 0.076 0.665 0.741
2 Be 0.335 0.076 0.411
3 Be 0.665 0.924 0.589
4 Be 0.924 0.335 0.259
5 In 0.500 0.500 0.000

Properties
Energy above the most stable polymorph in this dataset ... 0 meV/atom
Final energy ... -3.0515 eV per atom


A plane-wave DFT calculation with GGA-PBE was carried out for a geometry-optimized Be5In structure.

Unit cell a=4.501 b=4.501 c=4.501 alpha=60.00 beta=60.00 gamma=60.00
Atoms (fractional coordinates):
1 Be 0.000 0.000 0.000
2 Be 0.119 0.627 0.627
3 Be 0.627 0.119 0.627
4 Be 0.627 0.627 0.119
5 Be 0.627 0.627 0.627
6 In 0.250 0.250 0.250

Properties
Final energy ... -3.2266 eV per atom


A plane-wave DFT calculation with GGA-PBE was carried out for a geometry-optimized Be4In structure.

Unit cell a=4.730 b=4.730 c=4.730 alpha=109.47 beta=109.47 gamma=109.47
Atoms (fractional coordinates):
1 Be 0.000 0.000 0.500
2 Be 0.000 0.500 0.000
3 Be 0.500 0.000 0.000
4 Be 0.500 0.500 0.500
5 In 0.000 0.000 0.000

Properties
Energy above the most stable polymorph in this dataset ... 733 meV/atom
Final energy ... -2.3181 eV per atom